! PBE NdEr2Hf, relaxed; values from VASP
&SYSTEM
  ibrav = 0, nat = 4, ntyp = 3
/
ATOMIC_SPECIES
Nd 144.24 Nd.upf
Er 167.26 Er.upf
Hf 178.49 Hf.upf
ATOMIC_POSITIONS crystal
Nd 0.0000 0.0000 0.0000
Er 0.5000 0.5000 0.2858
Er 0.5000 0.5000 0.7142
Hf 0.0000 0.0000 0.5000
CELL_PARAMETERS angstrom
3.9534 0.0000 0.0000
0.0000 3.9534 0.0000
0.0000 0.0000 7.5679
! Formation energy: 0.872 eV per formula unit
! Space-group type: P4/mmm (123)
! Raw total energy: -5.744 eV per atom
! DOS(E_F): 8.672 states/eV/f.u.

=====

! PBE CaTlRh2, relaxed; values from VASP
&SYSTEM
  ibrav = 0, nat = 12, ntyp = 3
/
ATOMIC_SPECIES
Ca 40.08 Ca.upf
Tl 204.38 Tl.upf
Rh 102.91 Rh.upf
ATOMIC_POSITIONS crystal
Ca 0.0000 0.0000 0.0000
Ca 0.3333 0.6667 0.6667
Ca 0.6667 0.3333 0.3333
Tl 0.0000 0.0000 0.5000
Tl 0.3333 0.6667 0.1667
Tl 0.6667 0.3333 0.8333
Rh 0.0000 0.0000 0.2465
Rh 0.0000 0.0000 0.7535
Rh 0.3333 0.6667 0.4201
Rh 0.3333 0.6667 0.9132
Rh 0.6667 0.3333 0.0868
Rh 0.6667 0.3333 0.5799
CELL_PARAMETERS angstrom
3.3254 0.0000 0.0000
-1.6627 2.8798 0.0000
0.0000 0.0000 25.1962
! Formation energy: 0.445 eV per formula unit
! Space-group type: R-3m (166)
! Raw total energy: -4.656 eV per atom
! DOS(E_F): 3.965 states/eV/f.u.

=====

! PBE Yb2MgTl, relaxed; values from VASP
&SYSTEM
  ibrav = 0, nat = 16, ntyp = 3
/
ATOMIC_SPECIES
Yb 173.04 Yb.upf
Mg 24.30 Mg.upf
Tl 204.38 Tl.upf
ATOMIC_POSITIONS crystal
Yb 0.2500 0.2500 0.2500
Yb 0.2500 0.2500 0.7500
Yb 0.2500 0.7500 0.2500
Yb 0.2500 0.7500 0.7500
Yb 0.7500 0.2500 0.2500
Yb 0.7500 0.2500 0.7500
Yb 0.7500 0.7500 0.2500
Yb 0.7500 0.7500 0.7500
Mg 0.0000 0.0000 0.0000
Mg 0.0000 0.5000 0.5000
Mg 0.5000 0.0000 0.5000
Mg 0.5000 0.5000 0.0000
Tl 0.0000 0.0000 0.5000
Tl 0.0000 0.5000 0.0000
Tl 0.5000 0.0000 0.0000
Tl 0.5000 0.5000 0.5000
CELL_PARAMETERS angstrom
7.7241 0.0000 0.0000
0.0000 7.7241 0.0000
0.0000 0.0000 7.7241
! Formation energy: -1.175 eV per formula unit
! Space-group type: Fm-3m (225)
! Raw total energy: -2.047 eV per atom
! DOS(E_F): 3.235 states/eV/f.u.

=====

! PBE LaAs2Rh, relaxed; values from VASP
&SYSTEM
  ibrav = 0, nat = 8, ntyp = 3
/
ATOMIC_SPECIES
La 138.91 La.upf
As 74.92 As.upf
Rh 102.91 Rh.upf
ATOMIC_POSITIONS crystal
La 0.0000 0.0000 0.0000
La 0.5000 0.5000 0.5000
As 0.0000 0.5000 0.1961
As 0.0000 0.5000 0.8039
As 0.5000 0.0000 0.3039
As 0.5000 0.0000 0.6961
Rh 0.0000 0.0000 0.5000
Rh 0.5000 0.5000 0.0000
CELL_PARAMETERS angstrom
4.0918 0.0000 0.0000
0.0000 5.8890 0.0000
0.0000 0.0000 7.1846
! Formation energy: -3.327 eV per formula unit
! Space-group type: Immm (71)
! Raw total energy: -6.226 eV per atom
! DOS(E_F): 1.405 states/eV/f.u.

=====

! PBE PmCdAg5, relaxed; values from VASP
&SYSTEM
  ibrav = 0, nat = 28, ntyp = 3
/
ATOMIC_SPECIES
Pm 145.00 Pm.upf
Cd 112.41 Cd.upf
Ag 107.87 Ag.upf
ATOMIC_POSITIONS crystal
Pm 0.2438 0.2500 0.0624
Pm 0.2562 0.7500 0.5624
Pm 0.7438 0.2500 0.4376
Pm 0.7562 0.7500 0.9376
Cd 0.1424 0.7500 0.8534
Cd 0.3576 0.2500 0.3534
Cd 0.6424 0.7500 0.6466
Cd 0.8576 0.2500 0.1466
Ag 0.0632 0.0080 0.3082
Ag 0.0632 0.4920 0.3082
Ag 0.0649 0.7500 0.0882
Ag 0.1007 0.2500 0.5190
Ag 0.1856 0.2500 0.7600
Ag 0.3144 0.7500 0.2600
Ag 0.3993 0.7500 0.0190
Ag 0.4351 0.2500 0.5882
Ag 0.4368 0.5080 0.8082
Ag 0.4368 0.9920 0.8082
Ag 0.5632 0.0080 0.1918
Ag 0.5632 0.4920 0.1918
Ag 0.5649 0.7500 0.4118
Ag 0.6007 0.2500 0.9810
Ag 0.6856 0.2500 0.7400
Ag 0.8144 0.7500 0.2400
Ag 0.8993 0.7500 0.4810
Ag 0.9351 0.2500 0.9118
Ag 0.9368 0.5080 0.6918
Ag 0.9368 0.9920 0.6918
CELL_PARAMETERS angstrom
9.0304 0.0000 0.0000
0.0000 5.6744 0.0000
0.0000 0.0000 11.4199
! Formation energy: -1.041 eV per formula unit
! Space-group type: Pnma (62)
! Raw total energy: -2.995 eV per atom
! DOS(E_F): 3.549 states/eV/f.u.

=====

! PBE DyI3, relaxed; values from VASP
&SYSTEM
  ibrav = 0, nat = 8, ntyp = 2
/
ATOMIC_SPECIES
Dy 162.50 Dy.upf
I 126.90 I.upf
ATOMIC_POSITIONS crystal
Dy 0.0000 0.0000 0.0000
Dy 0.5000 0.5000 0.5000
I 0.0000 0.3417 0.3519
I 0.0000 0.5000 0.7957
I 0.0000 0.6583 0.3519
I 0.5000 0.0000 0.2957
I 0.5000 0.1583 0.8519
I 0.5000 0.8417 0.8519
CELL_PARAMETERS angstrom
3.9895 0.0000 0.0000
0.0000 12.6715 0.0000
0.0000 0.0000 7.8308
! Space-group type: Imm2 (44)
! Raw total energy: -3.665 eV per atom
! Formation energy from raw total energies: -1351.9 meV per atom
! DOS(E_F): 0.000 states/eV/f.u.